Entry 1:
Compound: ZrCuBr2
Source: Alexandria
Functional: PBE-GGA
Structure: optimized geometry

abc: 4.9576 4.9576 4.9576
angles: 60.00 60.00 60.00
Positions (direct):
Zr 0.7500 0.7500 0.7500
Br 0.0000 0.0000 0.0000
Br 0.2500 0.2500 0.2500
Cu 0.5000 0.5000 0.5000

Summary:
Its energy above the most stable polymorph in this dataset is 0.825 eV/atom. As for the total magnetization: 1.0 Bohr magnetons per cell. The symmetry is F-43m.

Entry 2:
Compound: ZrCu2Br
Source: Alexandria
Functional: PBE-GGA
Structure: optimized geometry

abc: 3.2223 4.4798 4.8270
angles: 90.00 90.00 90.00
Positions (direct):
Cu 0.5000 0.5000 0.0000
Cu 0.0000 0.0000 0.0000
Zr 0.5000 0.0000 0.5000
Br 0.0000 0.5000 0.5000

Summary:
Its energy above the most stable polymorph in this dataset is 0.334 eV/atom. As for the total magnetization: 0.0 Bohr magnetons per cell. The symmetry is Pmmm.

Entry 3:
Compound: ZrCu2Br8
Source: Alexandria
Functional: PBE-GGA
Structure: optimized geometry

abc: 6.3739 7.9748 7.9748
angles: 92.73 79.27 79.27
Positions (direct):
Br 0.8027 0.7394 0.0738
Br 0.8027 0.0738 0.7394
Br 0.1814 0.4175 0.4175
Br 0.1973 0.2606 0.9262
Br 0.3203 0.7812 0.7812
Br 0.1973 0.9262 0.2606
Br 0.8186 0.5825 0.5825
Br 0.6797 0.2188 0.2188
Cu 0.6790 0.8113 0.8113
Cu 0.3210 0.1887 0.1887
Zr 0.0000 0.0000 0.0000

Summary:
As for the total magnetization: 0.0 Bohr magnetons per cell. The symmetry is C2/m. The uncorrected energy is -3.47 eV per atom.

Entry 4:
Compound: ZrCu2Br
Source: Alexandria
Functional: PBE-GGA
Structure: optimized geometry

abc: 5.5330 5.5330 5.5330
angles: 139.71 139.71 58.30
Positions (direct):
Cu 0.0000 0.0000 0.0000
Cu 0.5000 0.5000 0.0000
Zr 0.2500 0.7500 0.5000
Br 0.7500 0.2500 0.5000

Summary:
Its energy above the most stable polymorph in this dataset is 0.369 eV/atom. As for the total magnetization: 0.0 Bohr magnetons per cell. The symmetry is I4/mmm.

Entry 5:
Compound: ZrCuBr2
Source: Alexandria
Functional: PBE-GGA
Structure: optimized geometry

abc: 4.8450 4.8450 4.8450
angles: 60.00 60.00 60.00
Positions (direct):
Zr 0.5000 0.5000 0.5000
Cu 0.0000 0.0000 0.0000
Br 0.7500 0.7500 0.7500
Br 0.2500 0.2500 0.2500

Summary:
Its energy above the most stable polymorph in this dataset is 0.552 eV/atom. As for the total magnetization: 1.0 Bohr magnetons per cell. The symmetry is Fm-3m.

Entry 6:
Compound: ZrCu2Br
Source: Alexandria
Functional: PBE-GGA
Structure: optimized geometry

abc: 4.6034 4.6034 4.6034
angles: 60.00 60.00 60.00
Positions (direct):
Br 0.5000 0.5000 0.5000
Cu 0.0000 0.0000 0.0000
Cu 0.2500 0.2500 0.2500
Zr 0.7500 0.7500 0.7500

Summary:
Its energy above the most stable polymorph in this dataset is 0.345 eV/atom. As for the total magnetization: 0.0 Bohr magnetons per cell. The symmetry is F-43m.

Entry 7:
Compound: Zr3CuBr
Source: Alexandria
Functional: PBE-GGA
Structure: optimized geometry

abc: 4.9951 4.9951 4.9951
angles: 90.00 90.00 90.00
Positions (direct):
Zr 0.0000 0.0000 0.5000
Zr 0.5000 0.0000 0.0000
Zr 0.0000 0.5000 0.0000
Cu 0.0000 0.0000 0.0000
Br 0.5000 0.5000 0.5000

Summary:
Its energy above the most stable polymorph in this dataset is 0.000 eV/atom. As for the total magnetization: 2.0 Bohr magnetons per cell. The symmetry is Pm-3m.

Entry 8:
Compound: ZrCuBr2
Source: Alexandria
Functional: PBE-GGA
Structure: optimized geometry

abc: 3.3929 3.3929 8.3952
angles: 90.00 90.00 89.91
Positions (direct):
Zr 0.5000 0.5000 0.7000
Br 0.5000 0.5000 0.3675
Br 0.0000 0.0000 0.9166
Cu 0.0000 0.0000 0.5159

Summary:
Its energy above the most stable polymorph in this dataset is 0.045 eV/atom. As for the total magnetization: 0.0 Bohr magnetons per cell. The symmetry is Cmm2.

Entry 9:
Compound: ZrCu2Br
Source: Alexandria
Functional: PBE-GGA
Structure: optimized geometry

abc: 6.0856 5.1427 3.2080
angles: 89.82 58.54 115.40
Positions (direct):
Zr 0.0000 0.5000 0.5000
Br 0.5000 0.5000 0.0000
Cu 0.5000 0.0000 0.5000
Cu 0.0000 0.0000 0.0000

Summary:
Its energy above the most stable polymorph in this dataset is 0.301 eV/atom. As for the total magnetization: 0.0 Bohr magnetons per cell. The symmetry is C2/m.

Entry 10:
Compound: ZrCuBr2
Source: Alexandria
Functional: PBE-GGA
Structure: optimized geometry

abc: 3.4060 5.7168 4.3322
angles: 90.00 90.00 90.00
Positions (direct):
Cu 0.5000 0.0000 0.5000
Br 0.5000 0.5000 0.0000
Br 0.0000 0.0000 0.0000
Zr 0.0000 0.5000 0.5000

Summary:
Its energy above the most stable polymorph in this dataset is 0.616 eV/atom. As for the total magnetization: 0.0 Bohr magnetons per cell. The symmetry is Pmmm.

Entry 11:
Compound: ZrCu2Br
Source: Alexandria
Functional: PBE-GGA
Structure: optimized geometry

abc: 3.2420 3.2491 7.2902
angles: 77.14 90.00 90.00
Positions (direct):
Zr 0.0000 0.5793 0.4657
Cu 0.0000 0.7710 0.0830
Cu 0.5000 0.1989 0.2272
Br 0.5000 0.9509 0.7240

Summary:
Its energy above the most stable polymorph in this dataset is 0.000 eV/atom. As for the total magnetization: 0.0 Bohr magnetons per cell. The symmetry is Amm2.

Entry 12:
Compound: ZrCu2Br
Source: Alexandria
Functional: PBE-GGA
Structure: optimized geometry

abc: 3.2439 3.2439 7.3770
angles: 90.00 90.00 90.01
Positions (direct):
Cu 0.0000 0.0000 0.0964
Cu 0.5000 0.5000 0.2308
Zr 0.0000 0.0000 0.4639
Br 0.5000 0.5000 0.7088

Summary:
Its energy above the most stable polymorph in this dataset is 0.010 eV/atom. As for the total magnetization: 0.0 Bohr magnetons per cell. The symmetry is P4mm.

Entry 13:
Compound: ZrCuBr2
Source: Alexandria
Functional: PBE-GGA
Structure: optimized geometry

abc: 3.5200 3.5198 6.4368
angles: 90.00 90.00 90.00
Positions (direct):
Br 0.0000 0.0000 0.9907
Br 0.0000 0.0000 0.5093
Cu 0.5000 0.5000 0.2500
Zr 0.5000 0.5000 0.7500

Summary:
Its energy above the most stable polymorph in this dataset is 0.402 eV/atom. As for the total magnetization: 0.0 Bohr magnetons per cell. The symmetry is P4/mmm.

Entry 14:
Compound: ZrCu2Br
Source: Alexandria
Functional: PBE-GGA
Structure: optimized geometry

abc: 4.5725 3.9003 3.9003
angles: 90.00 90.00 90.00
Positions (direct):
Cu 0.0000 0.0000 0.0000
Cu 0.0000 0.5000 0.5000
Zr 0.5000 0.5000 0.0000
Br 0.5000 0.0000 0.5000

Summary:
Its energy above the most stable polymorph in this dataset is 0.375 eV/atom. As for the total magnetization: 0.0 Bohr magnetons per cell. The symmetry is P4/mmm.

Entry 15:
Compound: ZrCu2Br
Source: Alexandria
Functional: PBE-GGA
Structure: optimized geometry

abc: 7.9652 7.9652 7.9652
angles: 24.92 24.92 24.92
Positions (direct):
Zr 0.2500 0.2500 0.2500
Br 0.7500 0.7500 0.7500
Cu 0.4995 0.4995 0.4995
Cu 0.0005 0.0005 0.0005

Summary:
Its energy above the most stable polymorph in this dataset is 0.311 eV/atom. As for the total magnetization: 0.0 Bohr magnetons per cell. The symmetry is R-3m.

Entry 16:
Compound: ZrCuBr2
Source: Alexandria
Functional: PBE-GGA
Structure: optimized geometry

abc: 6.3783 6.3783 6.7762
angles: 61.92 61.92 90.00
Positions (direct):
Cu 0.5000 0.5000 0.0000
Cu 0.2500 0.7500 0.5000
Br 0.8750 0.8366 0.7500
Br 0.1634 0.6250 0.2500
Br 0.5866 0.1250 0.2500
Br 0.3750 0.4134 0.7500
Zr 0.7500 0.2500 0.5000
Zr 0.0000 0.0000 0.0000

Summary:
Its energy above the most stable polymorph in this dataset is 0.715 eV/atom. As for the total magnetization: 2.0 Bohr magnetons per cell. The symmetry is I-42d.

Entry 17:
Compound: ZrCu2Br
Source: Alexandria
Functional: PBE-GGA
Structure: optimized geometry

abc: 5.6527 5.6527 5.6527
angles: 147.71 132.53 58.58
Positions (direct):
Zr 0.7500 0.2500 0.5000
Br 0.2500 0.7500 0.5000
Cu 0.9958 0.9958 0.0000
Cu 0.5042 0.5042 0.0000

Summary:
Its energy above the most stable polymorph in this dataset is 0.277 eV/atom. As for the total magnetization: 0.0 Bohr magnetons per cell. The symmetry is Immm.

Entry 18:
Compound: ZrCuBr2
Source: Alexandria
Functional: PBE-GGA
Structure: optimized geometry

abc: 5.6442 5.9001 3.3831
angles: 96.08 69.20 123.67
Positions (direct):
Cu 0.5000 0.5000 0.0000
Zr 0.5000 0.0000 0.5000
Br 0.0000 0.0000 0.0000
Br 0.0000 0.5000 0.5000

Summary:
Its energy above the most stable polymorph in this dataset is 0.500 eV/atom. As for the total magnetization: 0.0 Bohr magnetons per cell. The symmetry is C2/m.

Entry 19:
Compound: Zr2CuBr8
Source: Alexandria
Functional: PBE-GGA
Structure: optimized geometry

abc: 7.2955 8.3009 8.3009
angles: 77.74 90.56 90.56
Positions (direct):
Br 0.1694 0.2842 0.9277
Br 0.1694 0.9277 0.2842
Br 0.2393 0.3936 0.3936
Br 0.8306 0.0723 0.7158
Br 0.8306 0.7158 0.0723
Br 0.7607 0.6064 0.6064
Br 0.3311 0.8207 0.8207
Br 0.6689 0.1793 0.1793
Cu 0.0000 0.0000 0.0000
Zr 0.6709 0.7920 0.7920
Zr 0.3291 0.2080 0.2080

Summary:
As for the total magnetization: 1.0 Bohr magnetons per cell. The symmetry is C2/m. The uncorrected energy is -4.14 eV per atom.

Entry 20:
Compound: ZrCuBr2
Source: Alexandria
Functional: PBE-GGA
Structure: optimized geometry

abc: 6.1046 6.1046 6.1046
angles: 142.83 142.83 53.58
Positions (direct):
Br 0.2500 0.7500 0.5000
Br 0.0000 0.0000 0.0000
Cu 0.5000 0.5000 0.0000
Zr 0.7500 0.2500 0.5000

Summary:
Its energy above the most stable polymorph in this dataset is 0.651 eV/atom. As for the total magnetization: 0.0 Bohr magnetons per cell. The symmetry is I-4m2.